Material: Nd2MgSnC
Method: DFT, PBE
State: relaxed

Cell lengths 5.165, 5.165, 4.445 Å; angles 90.00, 90.00, 90.00 degrees
Element x y z (fractional)
Nd (0.000, 0.500, 0.000)
Nd (0.500, 0.000, 0.000)
Mg (0.000, 0.000, 0.500)
Sn (0.500, 0.500, 0.500)
C (0.000, 0.000, 0.000)

## Properties
- Total DFT energy (no corrections): -5.2606 eV/atom
- Fermi-level density of states: 0.74 states/eV/cell
- M_tot: 0.00 μB/f.u.
- Formation energy from the elements: -0.389 eV per atom